(A)
Density functional theory data (PBE-GGA) for an optimized crystal structure of In5Sb.

Cell lengths 9.3935, 9.3935, 5.7471 Å; angles 90.00, 90.00, 160.69 degrees
With the nearest neighbours (Å) after each atom.
Element x y z (fractional)
In  0.7662  0.2338  0.5000  4 In 3.15-3.34, 2 Sb 3.48
In  0.3447  0.6553  0.0000  6 In 3.15-3.47
In  0.4381  0.5619  0.5000  4 In 3.15-3.35, 2 Sb 3.37
In  0.0114  0.9886  0.0000  6 In 3.15-3.47, 2 Sb 3.30
In  0.6741  0.3259  0.0000  6 In 3.15-3.40
Sb  0.0988  0.9012  0.5000  2 Sb 3.15, 6 In 3.30-3.48

Calculated values
Space group   Amm2, No. 38
Total magnetic moment   0.000 μB per atom

(B)
Density functional theory data (PBE-GGA) for an optimized crystal structure of In5Sb.

Cell lengths 7.6414, 7.6414, 5.2039 Å; angles 90.00, 90.00, 146.93 degrees
With the nearest neighbours (Å) after each atom.
Element x y z (fractional)
In  0.4725  0.5275  0.5000  8 In 3.27-3.54, 4 Sb 3.39
In  0.6356  0.3644  0.0000  2 Sb 3.24, 10 In 3.34-3.60
Sb  0.9718  0.0282  0.0000  12 In 3.24-3.58
In  0.3082  0.6918  0.0000  2 Sb 3.24, 10 In 3.34-3.59
In  0.1397  0.8603  0.5000  10 In 3.26-3.59, 2 Sb 3.58
In  0.8057  0.1943  0.5000  10 In 3.26-3.60, 2 Sb 3.56

Calculated values
Space group   Amm2, No. 38
Total magnetic moment   0.000 μB per atom

So which one is most stable? That would be (B), about 15 meV per atom below the next structure.

(A)
Density functional theory data (PBE-GGA) for an optimized crystal structure of In5Sb3.

Cell lengths 9.1677, 9.1677, 9.1554 Å; angles 96.37, 96.37, 140.71 degrees
With the nearest neighbours (Å) after each atom.
Element x y z (fractional)
In  0.9183  0.7747  0.6920  6 Sb 3.26-3.53, 1 In 3.32
Sb  0.2486  0.2508  0.0000  2 Sb 3.08, 8 In 3.30-3.33
In  0.4195  0.7281  0.1442  6 Sb 3.25-3.53, 1 In 3.31
In  0.7716  0.0802  0.8558  6 Sb 3.25-3.53, 1 In 3.31
In  0.7250  0.5814  0.3081  6 Sb 3.26-3.53, 1 In 3.32
In  0.0810  0.2254  0.3081  6 Sb 3.26-3.53, 1 In 3.32
Sb  0.3433  0.1562  0.5000  6 In 3.11-3.31
Sb  0.7504  0.7490  0.0000  2 Sb 3.08, 8 In 3.31-3.33
Sb  0.1533  0.6537  0.8173  8 In 3.14-3.50
In  0.2276  0.9200  0.1441  6 Sb 3.25-3.53, 1 In 3.31
In  0.7509  0.2513  0.4988  2 In 3.06-3.11, 4 Sb 3.11-3.14
In  0.5797  0.2721  0.8559  6 Sb 3.25-3.53, 1 In 3.31
In  0.2743  0.4187  0.6919  6 Sb 3.26-3.53, 1 In 3.32
In  0.2482  0.7485  0.5012  2 In 3.06-3.11, 4 Sb 3.11-3.14
Sb  0.6558  0.8436  0.5000  6 In 3.11-3.31
Sb  0.8458  0.3462  0.1827  8 In 3.14-3.50

Calculated values
Space group   C2/m, No. 12
Total magnetic moment   0.000 μB per atom

(B)
Density functional theory data (PBE-GGA) for an optimized crystal structure of In5Sb3.

Cell lengths 9.2600, 9.2600, 6.4607 Å; angles 90.00, 90.00, 120.00 degrees
With the nearest neighbours (Å) after each atom.
Element x y z (fractional)
Sb  0.3450  0.3450  0.2500  5 In 3.04-3.25
Sb  0.0000  0.6550  0.2500  5 In 3.04-3.25
Sb  0.6550  0.6550  0.7500  5 In 3.04-3.25
Sb  0.6550  0.0000  0.2500  5 In 3.04-3.25
Sb  0.0000  0.3450  0.7500  5 In 3.04-3.25
In  0.6667  0.3333  0.0000  8 In 3.23-3.60, 6 Sb 3.44
In  0.3076  0.0000  0.2500  5 Sb 3.04-3.25
In  0.3333  0.6667  0.5000  8 In 3.23-3.60, 6 Sb 3.44
Sb  0.3450  0.0000  0.7500  5 In 3.04-3.25
In  0.3076  0.3076  0.7500  5 Sb 3.04-3.25
In  0.6924  0.6924  0.2500  5 Sb 3.04-3.25
In  0.0000  0.6924  0.7500  5 Sb 3.04-3.25
In  0.3333  0.6667  0.0000  8 In 3.23-3.60, 6 Sb 3.44
In  0.6667  0.3333  0.5000  8 In 3.23-3.60, 6 Sb 3.44
In  0.0000  0.3076  0.2500  5 Sb 3.04-3.25
In  0.6924  0.0000  0.7500  5 Sb 3.04-3.25

Calculated values
Space group   P6_3/mcm, No. 193
Total magnetic moment   0.000 μB per atom

(C)
Density functional theory data (PBE-GGA) for an optimized crystal structure of In5Sb3.

Cell lengths 7.3069, 7.3069, 4.1827 Å; angles 90.00, 90.00, 91.34 degrees
With the nearest neighbours (Å) after each atom.
Element x y z (fractional)
Sb  0.2649  0.2649  0.5000  2 Sb 3.18, 8 In 3.35-3.55
Sb  0.5000  0.5000  0.0000  4 Sb 3.18, 4 In 3.35
Sb  0.7351  0.7351  0.5000  2 Sb 3.18, 8 In 3.35-3.55
In  0.0000  0.5000  0.0000  6 In 3.30-3.65, 6 Sb 3.35-3.65
In  0.7507  0.2493  0.5000  6 In 3.30-3.34, 4 Sb 3.35-3.55
In  0.0000  0.0000  0.0000  8 In 3.34-3.65, 4 Sb 3.42
In  0.2493  0.7507  0.5000  6 In 3.30-3.34, 4 Sb 3.35-3.55
In  0.5000  0.0000  0.0000  6 In 3.30-3.65, 6 Sb 3.35-3.65

Calculated values
Space group   Cmmm, No. 65
Total magnetic moment   0.000 μB per atom

So which one is most stable? That would be (B), about 6 meV per atom below the next structure.

(A)
Density functional theory data (PBE-GGA) for an optimized crystal structure of In3Sb2.

Cell lengths 10.3206, 8.5807, 6.9494 Å; angles 82.58, 55.53, 41.89 degrees
With the nearest neighbours (Å) after each atom.
Element x y z (fractional)
Sb  0.7365  0.8449  0.4032  5 In 2.99-3.29
In  0.4704  0.7484  0.4536  1 In 3.10, 5 Sb 3.13-3.35
In  0.5016  0.7796  0.9224  1 In 3.10, 5 Sb 3.13-3.35
Sb  0.0154  0.4032  0.8449  5 In 2.99-3.29
Sb  0.4051  0.5135  0.2346  5 In 2.99-3.29
In  0.7964  0.9224  0.7796  1 In 3.10, 5 Sb 3.13-3.35
In  0.2001  0.2999  0.2999  2 Sb 2.99, 2 In 3.10
Sb  0.8468  0.2346  0.5135  5 In 2.99-3.29
In  0.9501  0.0499  0.0499  2 Sb 2.99, 2 In 3.10
In  0.3276  0.4536  0.7484  1 In 3.10, 5 Sb 3.13-3.35

Calculated values
Space group   Fdd2, No. 43
Total magnetic moment   0.000 μB per atom

(B)
Density functional theory data (PBE-GGA) for an optimized crystal structure of In3Sb2.

Cell lengths 4.9407, 4.9407, 7.4475 Å; angles 90.00, 90.00, 120.00 degrees
With the nearest neighbours (Å) after each atom.
Element x y z (fractional)
In  0.6667  0.3333  0.6415  4 Sb 3.03-3.12
Sb  0.6667  0.3333  0.2227  7 In 3.03-3.30
Sb  0.3333  0.6667  0.7773  7 In 3.03-3.30
In  0.3333  0.6667  0.3585  4 Sb 3.03-3.12
In  0.0000  0.0000  0.0000  6 Sb 3.30

Calculated values
Space group   P-3m1, No. 164
Total magnetic moment   0.000 μB per atom

(C)
Density functional theory data (PBE-GGA) for an optimized crystal structure of In3Sb2.

Cell lengths 9.0520, 9.0520, 9.0520 Å; angles 28.24, 28.24, 28.24 degrees
With the nearest neighbours (Å) after each atom.
Element x y z (fractional)
In  0.0000  0.0000  0.0000  6 Sb 3.10
Sb  0.5991  0.5991  0.5991  6 In 3.01-3.10
In  0.2042  0.2042  0.2042  3 Sb 3.01, 3 In 3.21
In  0.7958  0.7958  0.7958  3 Sb 3.01, 3 In 3.21
Sb  0.4009  0.4009  0.4009  6 In 3.01-3.10

Calculated values
Space group   R-3m, No. 166
Total magnetic moment   0.000 μB per atom

So which one is most stable? That would be (B), about 27 meV per atom below the next structure.